# CoSiOs2 | Alexandria via LeMat-Bulk | PBE-GGA | optimized geometry
data_CoSiOs2
_chemical_formula_sum 'Co2 Si2 Os4'
_space_group_name_H-M_alt 'I m m m'
_space_group_IT_number 71
_space_group_name_Hall '-I 2 2'
_cell_length_a 2.811
_cell_length_b 4.247
_cell_length_c 9.004
_cell_angle_alpha 90.00
_cell_angle_beta 90.00
_cell_angle_gamma 90.00
loop_
_atom_site_label
_atom_site_type_symbol
_atom_site_fract_x
_atom_site_fract_y
_atom_site_fract_z
_atom_site_occupancy
Co1 Co 0.000 0.000 0.000 1
Si1 Si 0.000 0.000 0.500 1
Os1 Os 0.000 0.500 0.214 1
# - energy (eV/cell) = -69.7
# - DOS(E_F) (states/eV per cell) = 6.71
# - energy relative to the elements, uncorrected (kJ per mole of atoms) = 3.1
# - crystal system = orthorhombic